(1)
Here is PtRhW2 at its PBEsol-relaxed geometry from Alexandria. Energies are from meta-GGA SCAN.

```
PtRhW2
1.0
-1.9670 -0.0520 1.8969
3.9023 -1.7787 2.0222
0.7308 4.7255 0.8916
Rh W Pt
1 2 1
direct
0.2535 0.5073 0.7656
0.9997 0.9990 0.9774
0.7485 0.4978 0.2676
0.4982 0.9959 0.4894
```

Properties
DFT formation energy = -166 meV/atom
Total magnetic moment = 0.00 μB/f.u.
V = 14.9 Å³ per atom
Total energy = -244.004 eV per cell
Space group = Cm, No. 8

(2)
Here is PtRhW2 at its PBEsol-relaxed geometry from Alexandria. Energies are from meta-GGA SCAN.

```
PtRhW2
1.0
-3.8238 -2.2024 -0.1534
-0.0781 -4.3448 0.7825
-1.8109 -1.5410 3.7204
Pt Rh W
1 1 2
direct
0.0000 0.0000 0.0000
0.5000 0.5000 0.5000
0.2500 0.2500 0.2500
0.7500 0.7500 0.7500
```

Properties
DFT formation energy = 437 meV/atom
Total magnetic moment = 0.00 μB/f.u.
V = 15.2 Å³ per atom
Total energy = -241.594 eV per cell
Space group = Fm-3m, No. 225

(3)
Here is Y2PtRh at its PBEsol-relaxed geometry from Alexandria. Energies are from meta-GGA SCAN.

```
Y2PtRh
1.0
3.7550 0.0000 0.0000
0.0000 4.2458 0.0000
-1.8775 0.0000 5.2445
Y Rh Pt
2 1 1
direct
0.9821 0.5000 0.9641
0.2645 0.0000 0.5291
0.7123 0.5000 0.4246
0.5411 0.0000 0.0822
```

Properties
DFT formation energy = -1201 meV/atom
Total magnetic moment = 0.00 μB/f.u.
V = 20.9 Å³ per atom
Total energy = -164.455 eV per cell
Space group = Amm2, No. 38

Q: DFT formation energy of number 1 (PtRhW2)?
A: -166 meV/atom

Q: Look up the V of the first one.
A: 14.9 Å³ per atom

Q: Look up the V of the third one.
A: 20.9 Å³ per atom

Q: What is the DFT formation energy in the second record?
A: 437 meV/atom